1.
TbNdTm3Th (PBE, optimized geometry); calculated volume = 31.67 A^3/atom; space-group type = No. 11; ΔE_f = 0.20 eV/f.u.; E_tot = -5.006 eV/atom
1.0
5.0332 0.0000 0.0000
0.0000 7.8220 -1.1969
0.0000 -3.2621 10.1534
Nd Tm Th Tb
2 6 2 2
direct
0.7500 0.8778 0.7076 Nd
0.2500 0.1222 0.2924 Nd
0.7500 0.3702 0.5434 Tm
0.2500 0.1250 0.9574 Tm
0.7500 0.3779 0.2080 Tm
0.2500 0.6298 0.4566 Tm
0.7500 0.8750 0.0426 Tm
0.2500 0.6221 0.7920 Tm
0.7500 0.8771 0.3762 Th
0.2500 0.1229 0.6238 Th
0.7500 0.3744 0.8720 Tb
0.2500 0.6256 0.1280 Tb

=====

2.
RbTe2IO (PBE, optimized geometry); relative energy among the computed polymorphs = 1199 meV/atom; calculated volume = 37.14 A^3/atom; space-group type = No. 123; E_tot = -1.912 eV/atom; energy relative to the elements, uncorrected = 840 meV per atom
1.0
-3.4798 4.8022 -2.9219
-2.3533 -2.9198 -1.9961
-4.2645 -0.0164 5.0518
I Te O Rb
1 2 1 1
direct
0.5000 0.5000 0.5000 I
0.0000 0.0000 0.5000 Te
0.5000 0.0000 0.0000 Te
0.0000 0.5000 0.0000 O
0.0000 0.0000 0.0000 Rb

=====

3.
Ba2Hg3Ge (PBE, optimized geometry); calculated volume = 32.14 A^3/atom; space-group type = No. 69; ΔE_f = -2.93 eV/f.u.; E_tot = -2.050 eV/atom
1.0
6.6422 0.7376 0.0000
0.3269 6.6751 0.0000
-3.4846 -3.7064 8.7470
Hg Ge Ba
6 2 4
direct
0.8251 0.8251 0.1714 Hg
0.6537 0.6537 0.8286 Hg
0.3463 0.3463 0.1714 Hg
0.1723 0.1723 0.3445 Hg
0.1749 0.1749 0.8286 Hg
0.8277 0.8277 0.6555 Hg
0.3360 0.3360 0.6719 Ge
0.6640 0.6640 0.3281 Ge
0.7613 0.2387 0.0000 Ba
0.7500 0.2500 0.5000 Ba
0.2500 0.7500 0.5000 Ba
0.2387 0.7613 0.0000 Ba

=====

4.
NdAgSn (PBE, optimized geometry); calculated volume = 26.49 A^3/atom; space-group type = No. 164; ΔE_f = -1.06 eV/f.u.; E_tot = -4.228 eV/atom
1.0
-0.8484 2.6562 4.0528
3.8887 -3.0064 -0.2013
4.2147 5.6400 -2.8142
Sn Ag Nd
2 2 2
direct
0.6667 0.3333 0.9612 Sn
0.3333 0.6667 0.0388 Sn
0.6667 0.3333 0.5117 Ag
0.3333 0.6667 0.4883 Ag
0.0000 0.0000 0.7368 Nd
0.0000 0.0000 0.2632 Nd

=====

5.
BaZrTa (PBE, optimized geometry); relative energy among the computed polymorphs = 735 meV/atom; calculated volume = 30.10 A^3/atom; space-group type = No. 216; ΔE_f = 4.23 eV/f.u.; E_tot = -6.030 eV/atom
1.0
5.0361 0.0000 0.0000
2.5180 4.3614 0.0000
2.5180 1.4538 4.1119
Zr Ta Ba
1 1 1
direct
0.0000 0.0000 0.0000 Zr
0.7500 0.7500 0.7500 Ta
0.5000 0.5000 0.5000 Ba

=====

6.
Dy6TcPb2 (PBE, optimized geometry); calculated volume = 28.18 A^3/atom; space-group type = No. 189; ΔE_f = -3.06 eV/f.u.; E_tot = -5.384 eV/atom
1.0
-1.0689 2.8735 3.1347
-6.3258 -4.7032 2.1541
7.2975 -1.1102 3.5061
Pb Dy Tc
2 6 1
direct
0.0000 0.3333 0.6666 Pb
0.0000 0.6667 0.3334 Pb
0.0000 0.7620 0.7620 Dy
0.5000 0.6018 0.0000 Dy
0.5000 0.3982 0.3982 Dy
0.5000 0.0000 0.6018 Dy
0.0000 0.2380 0.0000 Dy
0.0000 0.0000 0.2380 Dy
0.5000 0.0000 0.0000 Tc

=====

no.,DOS at the Fermi energy (states/eV per atom)
1,1.411
2,2.025
3,0.698
4,0.766
5,2.354
6,1.322